Record 1
! ErTl2Pb2 GGA-PBE optimized geometry; values from VASP
! Space-group type   No. 63
! Crystal system   orthorhombic
! E above lowest polymorph   0 meV per atom
! Formation energy from the elements   -133 meV/atom
&SYSTEM
  ibrav = 0, nat = 10, ntyp = 3
/
ATOMIC_SPECIES
Tl 204.38 Tl.upf
Pb 207.20 Pb.upf
Er 167.26 Er.upf
ATOMIC_POSITIONS angstrom
Tl 2.3136 1.1602 12.1447
Pb 0.0000 1.1602 3.9651
Er 0.0000 1.1602 9.4058
Pb 0.0000 3.4807 6.7592
Tl 2.3136 1.1602 1.3853
Pb 2.3136 3.4807 9.5818
Tl 0.0000 3.4807 12.1617
Er 2.3136 3.4807 4.1412
Tl 0.0000 3.4807 1.4022
Pb 2.3136 1.1602 6.7878
CELL_PARAMETERS angstrom
4.6273 0.0000 0.0000
0.0000 4.6409 0.0000
-2.3136 0.0000 13.5470


Record 2
! LiAcGaNi GGA-PBE optimized geometry; values from VASP
! Space-group type   No. 216
! Crystal system   cubic
! E above lowest polymorph   164 meV per atom
! Formation energy from the elements   -177 meV/atom
&SYSTEM
  ibrav = 0, nat = 4, ntyp = 4
/
ATOMIC_SPECIES
Ga 69.72 Ga.upf
Ac 227.00 Ac.upf
Li 6.94 Li.upf
Ni 58.69 Ni.upf
ATOMIC_POSITIONS angstrom
Ga 0.0000 0.0000 0.0000
Ac -5.2979 0.6743 -2.5343
Li -7.9468 1.0114 -3.8014
Ni -2.6489 0.3371 -1.2671
CELL_PARAMETERS angstrom
-2.3918 0.0009 -4.1924
-4.5158 -1.6920 -0.2025
-3.6882 3.0397 -0.6737


Number 1: electronic total energy -3.48 eV per atom, volume 290.92 Å³ per cell, total moment 0.00 μB per formula unit. Number 2: electronic total energy -3.88 eV per atom, volume 79.51 Å³ per cell, total moment 0.00 μB per formula unit.